Entry 1:
VASP calculation (PBEsol) on an optimized crystal structure of Sr2ReRh.

Unit cell a=5.4680 b=2.9440 c=5.8626 alpha=90.00 beta=116.22 gamma=90.00
Space group P2/m (No. 10)
One atom of each set of equivalent atoms:
Sr1 0.0000 0.0000 0.0000 x1
Sr2 0.5000 0.5000 0.5000 x1
Re1 0.0000 0.0000 0.5000 x1
Rh1 0.5000 0.5000 0.0000 x1

VASP energy (Ha/atom): -0.193
ΔE_f (meV per atom): 1032
Total magnetic moment (μB per formula unit): 0.00

***

Entry 2:
VASP calculation (PBEsol) on an optimized crystal structure of KNiH9C2O10.

Unit cell a=5.2628 b=6.5359 c=6.9232 alpha=116.69 beta=90.64 gamma=106.71
Space group P-1 (No. 2)
One atom of each set of equivalent atoms:
K1 0.0000 0.0000 0.0000 x1
Ni1 0.5000 0.5000 0.5000 x1
H1 0.0000 0.5000 0.0000 x1
H2 0.0055 0.3412 0.5752 x2
H3 0.2087 0.2018 0.5927 x2
H4 0.3605 0.7403 0.8757 x2
H5 0.4219 0.9138 0.7549 x2
C1 0.3684 0.6978 0.2109 x2
O1 0.1415 0.2675 0.5012 x2
O2 0.2010 0.6724 0.0512 x2
O3 0.2773 0.5712 0.3082 x2
O4 0.3929 0.1534 0.7420 x2
O5 0.4710 0.7850 0.7742 x2

VASP energy (Ha/atom): -0.218
Total magnetic moment (μB per formula unit): 2.04